No. 1
Compound: ScVCr
Source: Alexandria via LeMat-Bulk
Functional: GGA-PBE
Structure: relaxed

As for the symmetry: Cmcm. For the mass density, the calculation gives 5.17 g/cm³. The calculation puts the density of states at the Fermi level at 1.264 states/eV per atom. The relative energy among the computed polymorphs comes out at 28.4 meV per atom.

```
ScVCr
1.0
3.138 0.000 0.000
0.000 4.627 0.000
-1.569 0.000 6.546
Cr Sc V
2 2 2
Cartesian
1.569 1.157 1.491
0.000 3.470 5.055
1.569 1.157 5.536
0.000 3.470 1.010
0.000 1.157 3.128
1.569 3.470 3.418
```



No. 2
Compound: ScVCr
Source: Alexandria via LeMat-Bulk
Functional: GGA-PBE
Structure: relaxed

As for the symmetry: I4mm. For the mass density, the calculation gives 5.15 g/cm³. The calculation puts the density of states at the Fermi level at 1.028 states/eV per atom. The relative energy among the computed polymorphs comes out at 0.0 meV per atom.

```
ScVCr
1.0
-0.415 -3.022 -0.578
2.276 -0.694 1.994
-6.596 -0.501 7.355
Sc V Cr
2 2 2
Cartesian
-0.060 -0.005 0.067
-2.428 -2.113 4.453
-2.012 -0.153 2.243
-4.379 -2.261 6.629
-4.613 -0.350 5.143
-0.384 -1.958 2.174
```



No. 3
Compound: ScVCr3
Source: Alexandria via LeMat-Bulk
Functional: GGA-PBE
Structure: relaxed

As for the symmetry: Pm-3m. For the mass density, the calculation gives 4.93 g/cm³. The calculation puts the density of states at the Fermi level at 1.230 states/eV per atom. The relative energy among the computed polymorphs comes out at 0.0 meV per atom.

```
ScVCr3
1.0
-1.126 3.206 -2.787
0.948 -2.620 -3.398
-4.141 -1.472 -0.020
Sc Cr V
1 3 1
Cartesian
-2.160 -0.443 -3.102
0.474 -1.310 -1.699
-2.070 -0.736 -0.010
-0.563 1.603 -1.393
0.000 0.000 0.000
```



No. 4
Compound: ScVCr4
Source: Alexandria via LeMat-Bulk
Functional: GGA-PBE
Structure: relaxed

As for the symmetry: F-43m. For the mass density, the calculation gives 6.15 g/cm³. The total energy comes out at -8.9364 eV per atom. The calculation puts the density of states at the Fermi level at 0.719 states/eV per atom.

```
ScVCr4
1.0
4.877 0.000 0.000
2.438 4.223 0.000
2.438 1.408 3.982
Sc Cr V
1 4 1
Cartesian
0.000 0.000 0.000
4.877 2.816 0.499
4.877 1.409 2.488
6.095 3.519 2.488
3.658 3.519 2.488
2.438 1.408 0.995
```



No. 5
Compound: ScVCr
Source: Alexandria via LeMat-Bulk
Functional: GGA-PBE
Structure: relaxed

As for the symmetry: C2/m. For the mass density, the calculation gives 5.17 g/cm³. The calculation puts the density of states at the Fermi level at 0.987 states/eV per atom. The relative energy among the computed polymorphs comes out at 10.6 meV per atom.

```
ScVCr
1.0
4.392 0.000 0.001
0.000 4.390 0.000
-0.037 0.000 9.855
Sc V Cr
4 4 4
Cartesian
3.286 0.000 2.479
1.069 0.000 7.377
3.267 2.195 7.406
1.088 2.195 2.449
1.095 0.000 0.500
3.260 0.000 9.356
1.077 2.195 5.427
3.278 2.195 4.428
1.089 0.000 4.386
3.266 0.000 5.469
1.071 2.195 9.314
3.284 2.195 0.542
```



No. 6
Compound: ScV2Cr
Source: Alexandria via LeMat-Bulk
Functional: GGA-PBE
Structure: relaxed

As for the symmetry: I-42d. For the mass density, the calculation gives 5.05 g/cm³. The calculation puts the density of states at the Fermi level at 1.477 states/eV per atom. The relative energy among the computed polymorphs comes out at 448.1 meV per atom.

```
ScV2Cr
1.0
-1.951 1.525 2.772
2.259 -1.609 2.475
5.796 7.556 2.414
Sc Cr V
2 2 4
Cartesian
0.154 -0.042 2.624
4.104 2.953 3.756
0.000 0.000 0.000
1.999 4.520 3.905
1.511 1.860 1.226
1.618 1.855 3.916
5.619 4.812 5.046
3.460 6.418 5.135
```



- The highest mass density belongs to which entry?
  ScVCr4



- Look up the mass density of the second one.
  5.15 g/cm³



Copy entry 6 word for word.
Compound: ScV2Cr
Source: Alexandria via LeMat-Bulk
Functional: GGA-PBE
Structure: relaxed

As for the symmetry: I-42d. For the mass density, the calculation gives 5.05 g/cm³. The calculation puts the density of states at the Fermi level at 1.477 states/eV per atom. The relative energy among the computed polymorphs comes out at 448.1 meV per atom.

```
ScV2Cr
1.0
-1.951 1.525 2.772
2.259 -1.609 2.475
5.796 7.556 2.414
Sc Cr V
2 2 4
Cartesian
0.154 -0.042 2.624
4.104 2.953 3.756
0.000 0.000 0.000
1.999 4.520 3.905
1.511 1.860 1.226
1.618 1.855 3.916
5.619 4.812 5.046
3.460 6.418 5.135
```